VASP calculation (PBE+U) on an optimized crystal structure of SbMo2AuF.

Structure (POSCAR):
```
SbMo2AuF
1.0
4.511 0.000 0.000
0.000 4.511 0.000
0.000 0.000 5.253
Sb Mo Au F
1 2 1 1
Cartesian
0.000 0.000 0.000
0.000 2.256 2.626
2.256 0.000 2.626
2.256 2.256 0.000
0.000 0.000 2.626
```

Properties
Raw total energy (eV per atom): -4.160
Space group: P4/mmm, No. 123
N(E_F) (states/eV/atom): 0.536
Mass density (g cm⁻³): 8.2